Record 1
VASP calculation (GGA-PBE) on an optimized crystal structure of TlZn2Sn2.

E = -2.51 eV per atom

a b c (Å): 6.873 6.873 6.873
angles (deg): 140.90 140.90 56.49
Fractional positions:
Tl  0.000  0.000  0.000
Sn  0.620  0.620  0.000
Sn  0.380  0.380  0.000
Zn  0.250  0.750  0.500
Zn  0.750  0.250  0.500

=====

Record 2
VASP calculation (GGA-PBE) on an optimized crystal structure of TlZn2Sn2.

E = -2.51 eV per atom

a b c (Å): 6.906 6.906 6.906
angles (deg): 141.78 141.78 55.16
Fractional positions:
Zn  0.399  0.399  0.000
Zn  0.601  0.601  0.000
Sn  0.750  0.250  0.500
Sn  0.250  0.750  0.500
Tl  0.000  0.000  0.000

=====

Which value of E does entry 1 give? -2.51 eV per atom